[1]
VASP calculation (PBE-GGA) on crystalline Nd4Ho3 at its relaxed geometry.

Output
- energy relative to the lowest polymorph listed for this composition (meV per atom) = 113
- energy of formation (eV per atom) = 0.1293
- density of states at the Fermi level (states/eV/f.u.) = 11.438
- V (Å³/f.u.) = 236.7
- calculated total energy (eV/atom) = -4.557

Geometry as POSCAR:
```
Nd4Ho3
1.0
3.5190 0.0000 0.0000
0.0000 8.8321 -0.5295
-1.7595 -4.5658 7.8888
Nd Ho
4 3
Cartesian
0.0000 3.2793 1.0160
1.7595 0.9870 6.3433
0.0000 -2.1560 5.6299
1.7595 6.4223 1.7294
0.0000 0.0000 0.0000
0.0000 0.6147 3.3227
1.7595 3.6516 4.0366
```

***

[2]
VASP calculation (PBE-GGA) on crystalline Nd3Ho at its relaxed geometry.

Output
- energy relative to the lowest polymorph listed for this composition (meV per atom) = 11
- energy of formation (eV per atom) = 0.0256
- density of states at the Fermi level (states/eV/f.u.) = 6.848
- V (Å³/f.u.) = 138.3
- calculated total energy (eV/atom) = -4.695

Geometry as POSCAR:
```
Nd3Ho
1.0
7.3812 0.0000 0.0000
-3.6906 6.3923 0.0000
0.0000 0.0000 5.8619
Nd Ho
6 2
Cartesian
0.0000 2.1425 1.4655
1.8351 5.3210 1.4655
-1.8351 5.3210 1.4655
3.6906 4.2498 4.3964
1.8554 1.0712 4.3964
5.5257 1.0712 4.3964
0.0000 4.2615 4.3964
3.6906 2.1308 1.4655
```